1.
Compound: PrTcHN2
Source: Alexandria via LeMat-Bulk
Functional: PBE
Structure: optimized geometry

Summary:
volume	11.685	A^3/atom
uncorrected energy	-7.66	eV/atom

Unit cell a=3.652 b=4.000 c=4.000 alpha=90.00 beta=90.00 gamma=90.00
Positions (direct):
Pr (0.500, 0.500, 0.500)
Tc (0.000, 0.000, 0.000)
H (0.500, 0.000, 0.000)
N (0.000, 0.000, 0.500)
N (0.000, 0.500, 0.000)

2.
Compound: Pr2VHN3
Source: Alexandria via LeMat-Bulk
Functional: PBE
Structure: optimized geometry

Summary:
volume	12.912	A^3/atom
uncorrected energy	-7.79	eV/atom

Unit cell a=3.647 b=3.892 c=6.905 alpha=106.37 beta=105.31 gamma=90.00
Site moments in Bohr magnetons follow the coordinates.
Positions (direct):
Pr (0.647, 0.647, 0.294)  0.02
Pr (0.353, 0.353, 0.706)  0.02
V (0.000, 0.000, 0.000)  0.40
H (0.500, 0.000, 0.000)  0.00
N (0.000, 0.500, 0.000)  0.00
N (0.158, 0.158, 0.316)  0.00
N (0.842, 0.842, 0.684)  0.00

3.
Compound: HPt2N
Source: Alexandria via LeMat-Bulk
Functional: PBE
Structure: optimized geometry

Summary:
polymorph energy (0 for the lowest one)	795	meV per atom
volume	10.721	A^3/atom
uncorrected energy	-4.60	eV/atom

Unit cell a=3.929 b=3.929 c=3.929 alpha=60.00 beta=60.00 gamma=60.00
Positions (direct):
H (0.000, 0.000, 0.000)
Pt (0.250, 0.250, 0.250)
Pt (0.750, 0.750, 0.750)
N (0.500, 0.500, 0.500)

4.
Compound: HPt3N
Source: Alexandria via LeMat-Bulk
Functional: PBE
Structure: optimized geometry

Summary:
polymorph energy (0 for the lowest one)	0	meV per atom
volume	14.009	A^3/atom
uncorrected energy	-4.90	eV/atom

Unit cell a=4.122 b=4.122 c=4.122 alpha=90.00 beta=90.00 gamma=90.00
Site moments in Bohr magnetons follow the coordinates.
Positions (direct):
H (0.500, 0.500, 0.500)  0.12
Pt (0.000, 0.500, 0.000)  0.00
Pt (0.000, 0.000, 0.500)  0.04
Pt (0.500, 0.000, 0.000)  -0.01
N (0.000, 0.000, 0.000)  0.00